Entry 1:
# Ti2MnAl

A relaxed structure of Ti2MnAl (GGA-PBE, Alexandria via LeMat-Bulk).

Computed properties:
Formation enthalpy at 0 K = -0.246 eV per atom
Volume = 15.17 Å³ per atom

Structure (CIF):
```
data_Ti2MnAl
_space_group_name_H-M_alt 'F -4 3 m'
_space_group_IT_number 216
_space_group_name_Hall 'F -4 2 3'
_cell_length_a 6.238
_cell_length_b 6.238
_cell_length_c 6.238
_cell_angle_alpha 90.00
_cell_angle_beta 90.00
_cell_angle_gamma 90.00
loop_
_atom_site_label
_atom_site_type_symbol
_atom_site_fract_x
_atom_site_fract_y
_atom_site_fract_z
_atom_site_occupancy
Ti1 Ti 0.000 0.000 0.000 1
Ti2 Ti 0.250 0.250 0.250 1
Mn1 Mn 0.250 0.250 0.750 1
Al1 Al 0.000 0.000 0.500 1
```

Entry 2:
# Cd4AgIr

A relaxed structure of Cd4AgIr (GGA-PBE, Alexandria via LeMat-Bulk).

Computed properties:
Formation enthalpy at 0 K = 0.391 eV per atom
Volume = 19.78 Å³ per atom

Structure (CIF):
```
data_Cd4AgIr
_space_group_name_H-M_alt 'F -4 3 m'
_space_group_IT_number 216
_space_group_name_Hall 'F -4 2 3'
_cell_length_a 7.801
_cell_length_b 7.801
_cell_length_c 7.801
_cell_angle_alpha 90.00
_cell_angle_beta 90.00
_cell_angle_gamma 90.00
loop_
_atom_site_label
_atom_site_type_symbol
_atom_site_fract_x
_atom_site_fract_y
_atom_site_fract_z
_atom_site_occupancy
Cd1 Cd 0.125 0.125 0.125 1
Ag1 Ag 0.000 0.000 0.500 1
Ir1 Ir 0.250 0.250 0.750 1
```

> Number 1 is which compound?

Ti2MnAl